Arrangement i

B2C PBE-GGA relaxed; space-group type = C2 (5); DOS(E_F) = 0.49 states/eV/f.u.
1.0
4.420 -1.922 0.000
4.420 1.922 0.000
-1.712 0.000 5.209
B C
8 4
Cartesian
0.000 0.000 0.000
1.523 0.683 0.198
3.922 0.683 1.071
1.832 0.035 3.197
3.206 0.683 4.138
5.605 0.683 5.011
5.296 0.035 2.011
3.564 -1.882 2.604
2.608 -0.155 0.927
2.250 -1.083 2.105
4.521 -0.155 4.281
4.879 -1.083 3.103

---

Arrangement ii

B2C PBE-GGA relaxed; space-group type = Pmma (51); DOS(E_F) = 0.74 states/eV/f.u.
1.0
8.283 0.000 0.000
0.000 2.689 0.000
0.000 0.000 4.192
B C
8 4
Cartesian
1.047 0.000 1.037
2.071 0.000 2.439
2.071 1.345 3.658
3.094 0.000 1.037
5.188 0.000 3.155
6.212 0.000 1.753
6.212 1.345 0.534
7.236 0.000 3.155
0.642 1.345 0.396
3.499 1.345 0.396
4.783 1.345 3.796
7.641 1.345 3.796

---

Relative energies, in eV/atom, with the most stable structure set to zero: arrangement i 0.058; arrangement ii 0.000.